## 1
{"formula": "CsV2Br2", "functional": "PBE-GGA", "state": "relaxed", "lattice_angstrom": [[-2.6838, -8.4472, -0.3852], [7.6617, -2.6001, 3.6391], [-1.8775, 0.4031, 4.2410]], "species": ["Br", "Br", "Br", "Br", "V", "V", "V", "V", "Cs", "Cs"], "fractional_positions": [[0.3449, 0.8449, 0.5000], [0.6551, 0.1551, 0.5000], [0.1551, 0.3449, 0.5000], [0.8449, 0.6551, 0.5000], [0.5720, 0.0720, 0.0000], [0.9280, 0.5720, 0.0000], [0.4280, 0.9280, 0.0000], [0.0720, 0.4280, 0.0000], [0.5000, 0.5000, 0.0000], [0.0000, 0.0000, 0.0000]], "total_magnetization_mub_per_cell": 2.003, "n_ef_per_ev_cell": 1.1}



## 2
{"formula": "CsV2Br2", "functional": "PBE-GGA", "state": "relaxed", "lattice_angstrom": [[5.3064, 0.0000, 0.0000], [0.0000, 5.3064, 0.0000], [2.6532, 2.6532, 4.6893]], "species": ["Cs", "V", "V", "Br", "Br"], "fractional_positions": [[0.0000, 0.0000, 0.0000], [0.5942, 0.5942, 0.8116], [0.4058, 0.4058, 0.1884], [0.7500, 0.2500, 0.5000], [0.2500, 0.7500, 0.5000]], "total_magnetization_mub_per_cell": 1.012, "n_ef_per_ev_cell": 4.3}



Which of them is the most stable? Correct choice: 1.